3
Lattice="5.2701 0.0057 -0.0021 1.9810 4.8836 0.0021 -2.7939 -3.6781 2.5377" Properties=species:S:1:pos:R:3 comment="LaTa2 | the Alexandria database | PBE | optimized geometry" sg="Immm (71)" relative_energy_mev_per_atom=303 ef_mev_per_atom=614 magnetic_moment_mub_per_atom=0.0000 total_energy_ev_per_atom=-8.930 pbc="T T T"
La 0.0000 0.0000 0.0000
Ta 2.3895 1.6112 0.0000
Ta 4.8617 3.2781 0.0000